Compound: Pm2PrN3
Source: OQMD
Functional: PBE
Structure: optimized geometry

POSCAR file:
```
Pm2PrN3
1.0
3.6218 0.0000 0.0000
-1.8109 3.1365 0.0000
0.0000 0.0000 8.8690
Pr N Pm
1 3 2
Direct
0.0000 0.0000 0.5000
0.6667 0.3333 0.6709
0.0000 0.0000 0.0000
0.3333 0.6667 0.3291
0.6667 0.3333 0.1647
0.3333 0.6667 0.8353
```

Summary:
* total magnetization: 0.002 μB/f.u.
* calculated volume: 100.7 Å³/cell
* electronic total energy: -7.93 eV/atom